[1]
## Li3La (GGA-PBE)

Data for crystalline Li3La at its relaxed geometry.

The structure belongs to space group Pm-3m (No. 221); the cell edges are 6.521, 6.521 and 6.521 Å and the angles 90.00°, 90.00° and 90.00°. The asymmetric unit holds Li at (0.000, 0.000, 0.500) and La at (0.000, 0.000, 0.000).

The crystal system is cubic. As for the uncorrected energy: -0.1007 Ry per atom. The calculation puts the excess energy over the best structure of this formula in the dataset at 1.263 eV/atom. The volume is 277.2 Å³ per cell.


[2]
## Dy2Th3Fe2 (GGA-PBE)

Data for crystalline Dy2Th3Fe2 at its relaxed geometry.

The structure belongs to space group P-1 (No. 2); the cell edges are 3.856, 6.187 and 8.394 Å and the angles 94.16°, 103.25° and 108.13°. The asymmetric unit holds Dy at (0.211, 0.319, 0.106), Th at (0.000, 0.500, 0.500), Th at (0.416, 0.084, 0.747) and Fe at (0.279, 0.137, 0.420).

The crystal system is triclinic. As for the uncorrected energy: -0.5055 Ry per atom. The volume is 183.0 Å³ per cell.


[3]
## CsWCl2 (GGA-PBE)

Data for crystalline CsWCl2 at its relaxed geometry.

The structure belongs to space group Fm-3m (No. 225); the cell edges are 7.806, 7.806 and 7.806 Å and the angles 90.00°, 90.00° and 90.00°. The asymmetric unit holds Cs at (0.000, 0.000, 0.000), W at (0.000, 0.000, 0.500) and Cl at (0.250, 0.250, 0.250).

The crystal system is cubic. The calculation puts the uncorrected formation energy at 2.25 eV per formula unit. As for the uncorrected energy: -0.2802 Ry per atom. The calculation puts the excess energy over the best structure of this formula in the dataset at 0.505 eV/atom. The volume is 475.6 Å³ per cell.


[4]
## FeAuCl2 (GGA-PBE)

Data for crystalline FeAuCl2 at its relaxed geometry.

The structure belongs to space group R-3m (No. 166, hexagonal axes); the cell edges are 3.1945, 3.1945 and 31.4520 Å and the angles 90.00°, 90.00° and 120.00°. The asymmetric unit holds Fe at (0.0000, 0.0000, 0.0000), Au at (0.0000, 0.0000, 0.5000) and Cl at (0.0000, 0.0000, 0.2841).

The crystal system is trigonal. The calculation puts the uncorrected formation energy at -0.90 eV per formula unit. As for the uncorrected energy: -0.3001 Ry per atom. The calculation puts the excess energy over the best structure of this formula in the dataset at 0.000 eV/atom. The volume is 278.0 Å³ per cell.


[5]
## YEr4Sc8 (GGA-PBE)

Data for crystalline YEr4Sc8 at its relaxed geometry.

The structure belongs to space group R-3m (No. 166, hexagonal axes); the cell edges are 10.4073, 10.4073 and 12.7182 Å and the angles 90.00°, 90.00° and 120.00°. The asymmetric unit holds Y at (0.0000, 0.0000, 0.0000), Er at (0.0000, 0.0000, 0.5000), Er at (0.0000, 0.5000, 0.5000), Sc at (0.0000, 0.0000, 0.2603) and Sc at (0.0132, 0.5066, 0.2461).

The crystal system is trigonal. As for the uncorrected energy: -0.3824 Ry per atom. The volume is 1193.0 Å³ per cell.


[6]
## Tb2Ce3ThSe6 (GGA-PBE)

Data for crystalline Tb2Ce3ThSe6 at its relaxed geometry.

The structure belongs to space group C2/m (No. 12); the cell edges are 7.212, 12.499 and 7.225 Å and the angles 90.00°, 109.47° and 90.00°. The asymmetric unit holds Tb at (0.000, 0.167, 0.000), Ce at (0.000, 0.000, 0.500), Ce at (0.000, 0.336, 0.500), Th at (0.000, 0.500, 0.000), Se at (0.240, 0.000, 0.241) and Se at (0.248, 0.170, 0.755).

The crystal system is monoclinic. The calculation puts the uncorrected formation energy at -21.15 eV per formula unit. As for the uncorrected energy: -0.4688 Ry per atom. The volume is 614.1 Å³ per cell.